Below is crystalline TeRhCl2 at its relaxed geometry, with properties calculated at the PBE level.

Properties
Spin magnetization in μB per atom: 0.00
Theoretical density in Mg/m³: 6.40
Formation energy from raw total energies in meV/atom: 308

abc: 3.163 4.573 5.408
angles: 90.00 90.00 90.00
Sites, in units of the cell vectors:
1 Te 0.000 0.000 0.000
2 Rh 0.500 0.000 0.500
3 Cl 0.000 0.500 0.500
4 Cl 0.500 0.500 0.000